Entry from the Alexandria database: a geometry-optimized LaMnW structure (PBE).

Lattice parameters (Å, degrees): 4.460 4.460 4.460 60.00 60.00 60.00
Fractional coordinates of all 3 atoms:
La: 0.000 0.000 0.000
Mn: 0.750 0.750 0.750
W: 0.500 0.500 0.500

## Properties
- E (eV per atom) = -8.063
- ΔE_f (eV per formula unit) = 2.86